Below is Gd3HfH after structural relaxation, with properties calculated at the PBE level.

The structure in CIF format:
```
data_Gd3HfH
_symmetry_space_group_name_H-M 'P m -3 m'
_symmetry_Int_Tables_number 221
_symmetry_space_group_name_Hall '-P 4 2 3'
_cell_length_a 4.8805
_cell_length_b 4.8805
_cell_length_c 4.8805
_cell_angle_alpha 90.00
_cell_angle_beta 90.00
_cell_angle_gamma 90.00
loop_
_atom_site_label
_atom_site_type_symbol
_atom_site_fract_x
_atom_site_fract_y
_atom_site_fract_z
Gd1 Gd 0.0000 0.0000 0.5000
Hf1 Hf 0.5000 0.5000 0.5000
H1 H 0.0000 0.0000 0.0000
```

## Properties
For the magnetic moment, the calculation gives 21.302 μB/f.u. The total energy is -55.77 eV per cell. As for the mass density: 9.30 g/cm³. The calculation puts the density of states at the Fermi level at 5.477 states/eV/f.u.


Below is GdHf2H after structural relaxation, with properties calculated at the PBE level.

The structure in CIF format:
```
data_GdHf2H
_symmetry_space_group_name_H-M 'R -3 m'
_symmetry_Int_Tables_number 166
_symmetry_space_group_name_Hall '-R 3 2"'
_cell_length_a 3.2316
_cell_length_b 3.2316
_cell_length_c 25.8526
_cell_angle_alpha 90.00
_cell_angle_beta 90.00
_cell_angle_gamma 120.00
loop_
_atom_site_label
_atom_site_type_symbol
_atom_site_fract_x
_atom_site_fract_y
_atom_site_fract_z
Gd1 Gd 0.0000 0.0000 0.0000
Hf1 Hf 0.0000 0.0000 0.1187
H1 H 0.0000 0.0000 0.5000
```

## Properties
For the magnetic moment, the calculation gives 7.305 μB/f.u. The total energy is -110.41 eV per cell. As for the mass density: 10.98 g/cm³. The calculation puts the density of states at the Fermi level at 4.043 states/eV/f.u.


Below is GdHfH after structural relaxation, with properties calculated at the PBE level.

The structure in CIF format:
```
data_GdHfH
_symmetry_space_group_name_H-M 'P 3 m 1'
_symmetry_Int_Tables_number 156
_symmetry_space_group_name_Hall 'P 3 -2"'
_cell_length_a 3.3763
_cell_length_b 3.3763
_cell_length_c 5.4297
_cell_angle_alpha 90.00
_cell_angle_beta 90.00
_cell_angle_gamma 120.00
loop_
_atom_site_label
_atom_site_type_symbol
_atom_site_fract_x
_atom_site_fract_y
_atom_site_fract_z
Gd1 Gd 0.0000 0.0000 0.0000
Hf1 Hf 0.3333 0.6667 0.5067
H1 H 0.6667 0.3333 0.3059
```

## Properties
For the magnetic moment, the calculation gives 7.156 μB/f.u. The total energy is -27.70 eV per cell. As for the mass density: 10.43 g/cm³. The calculation puts the density of states at the Fermi level at 1.907 states/eV/f.u.


Below is Gd2HgH after structural relaxation, with properties calculated at the PBE level.

The structure in CIF format:
```
data_Gd2HgH
_symmetry_space_group_name_H-M 'R -3 m'
_symmetry_Int_Tables_number 166
_symmetry_space_group_name_Hall '-R 3 2"'
_cell_length_a 3.6659
_cell_length_b 3.6659
_cell_length_c 22.9505
_cell_angle_alpha 90.00
_cell_angle_beta 90.00
_cell_angle_gamma 120.00
loop_
_atom_site_label
_atom_site_type_symbol
_atom_site_fract_x
_atom_site_fract_y
_atom_site_fract_z
Gd1 Gd 0.0000 0.0000 0.2272
Hg1 Hg 0.0000 0.0000 0.0000
H1 H 0.0000 0.0000 0.5000
```

## Properties
For the magnetic moment, the calculation gives 14.885 μB/f.u. The total energy is -99.45 eV per cell. As for the mass density: 9.63 g/cm³. The calculation puts the density of states at the Fermi level at 3.913 states/eV/f.u.


Below is GdHgH after structural relaxation, with properties calculated at the PBE level.

The structure in CIF format:
```
data_GdHgH
_symmetry_space_group_name_H-M 'P 63/m m c'
_symmetry_Int_Tables_number 194
_symmetry_space_group_name_Hall '-P 6c 2c'
_cell_length_a 3.7932
_cell_length_b 3.7932
_cell_length_c 19.2171
_cell_angle_alpha 90.00
_cell_angle_beta 90.00
_cell_angle_gamma 120.00
loop_
_atom_site_label
_atom_site_type_symbol
_atom_site_fract_x
_atom_site_fract_y
_atom_site_fract_z
Gd1 Gd 0.3333 0.6667 0.1243
Hg1 Hg 0.0000 0.0000 0.0000
Hg2 Hg 0.0000 0.0000 0.2500
H1 H 0.3333 0.6667 0.6277
```

## Properties
As for the energy above the lowest structure with this stoichiometry: 0.0 meV per atom. For the magnetic moment, the calculation gives 7.372 μB/f.u. The total energy is -75.80 eV per cell. As for the mass density: 9.95 g/cm³. The calculation puts the density of states at the Fermi level at 2.171 states/eV/f.u.


Below is Gd3Hg5H12 after structural relaxation, with properties calculated at the PBE level.

The structure in CIF format:
```
data_Gd3Hg5H12
_symmetry_space_group_name_H-M 'I a -3 d'
_symmetry_Int_Tables_number 230
_symmetry_space_group_name_Hall '-I 4bd 2c 3'
_cell_length_a 12.8934
_cell_length_b 12.8934
_cell_length_c 12.8934
_cell_angle_alpha 90.00
_cell_angle_beta 90.00
_cell_angle_gamma 90.00
loop_
_atom_site_label
_atom_site_type_symbol
_atom_site_fract_x
_atom_site_fract_y
_atom_site_fract_z
Gd1 Gd 0.0000 0.2500 0.1250
Hg1 Hg 0.0000 0.0000 0.0000
Hg2 Hg 0.0000 0.2500 0.3750
H1 H 0.0196 0.0776 0.6763
```

## Properties
For the magnetic moment, the calculation gives 20.963 μB/f.u. The total energy is -670.22 eV per cell. As for the mass density: 9.21 g/cm³. The calculation puts the density of states at the Fermi level at 4.644 states/eV/f.u.


Below is GdHgH after structural relaxation, with properties calculated at the PBE level.

The structure in CIF format:
```
data_GdHgH
_symmetry_space_group_name_H-M 'P -6 m 2'
_symmetry_Int_Tables_number 187
_symmetry_space_group_name_Hall 'P -6 2'
_cell_length_a 3.7823
_cell_length_b 3.7823
_cell_length_c 4.8500
_cell_angle_alpha 90.00
_cell_angle_beta 90.00
_cell_angle_gamma 120.00
loop_
_atom_site_label
_atom_site_type_symbol
_atom_site_fract_x
_atom_site_fract_y
_atom_site_fract_z
Gd1 Gd 0.0000 0.0000 0.0000
Hg1 Hg 0.3333 0.6667 0.5000
H1 H 0.6667 0.3333 0.0000
```

## Properties
As for the energy above the lowest structure with this stoichiometry: 4.8 meV per atom. For the magnetic moment, the calculation gives 7.691 μB/f.u. The total energy is -18.94 eV per cell. As for the mass density: 9.92 g/cm³. The calculation puts the density of states at the Fermi level at 2.107 states/eV/f.u.


Below is Gd3HgH after structural relaxation, with properties calculated at the PBE level.

The structure in CIF format:
```
data_Gd3HgH
_symmetry_space_group_name_H-M 'P m -3 m'
_symmetry_Int_Tables_number 221
_symmetry_space_group_name_Hall '-P 4 2 3'
_cell_length_a 4.8669
_cell_length_b 4.8669
_cell_length_c 4.8669
_cell_angle_alpha 90.00
_cell_angle_beta 90.00
_cell_angle_gamma 90.00
loop_
_atom_site_label
_atom_site_type_symbol
_atom_site_fract_x
_atom_site_fract_y
_atom_site_fract_z
Gd1 Gd 0.0000 0.0000 0.5000
Hg1 Hg 0.5000 0.5000 0.5000
H1 H 0.0000 0.0000 0.0000
```

## Properties
For the magnetic moment, the calculation gives 23.677 μB/f.u. The total energy is -47.55 eV per cell. As for the mass density: 9.70 g/cm³. The calculation puts the density of states at the Fermi level at 5.068 states/eV/f.u.


Below is Gd3HoH after structural relaxation, with properties calculated at the PBE level.

The structure in CIF format:
```
data_Gd3HoH
_symmetry_space_group_name_H-M 'P m -3 m'
_symmetry_Int_Tables_number 221
_symmetry_space_group_name_Hall '-P 4 2 3'
_cell_length_a 5.0177
_cell_length_b 5.0177
_cell_length_c 5.0177
_cell_angle_alpha 90.00
_cell_angle_beta 90.00
_cell_angle_gamma 90.00
loop_
_atom_site_label
_atom_site_type_symbol
_atom_site_fract_x
_atom_site_fract_y
_atom_site_fract_z
Gd1 Gd 0.0000 0.0000 0.5000
Ho1 Ho 0.5000 0.5000 0.5000
H1 H 0.0000 0.0000 0.0000
```

## Properties
For the magnetic moment, the calculation gives 21.537 μB/f.u. The total energy is -50.96 eV per cell. As for the mass density: 8.38 g/cm³. The calculation puts the density of states at the Fermi level at 5.460 states/eV/f.u.


Below is Gd2HoH after structural relaxation, with properties calculated at the PBE level.

The structure in CIF format:
```
data_Gd2HoH
_symmetry_space_group_name_H-M 'R -3 m'
_symmetry_Int_Tables_number 166
_symmetry_space_group_name_Hall '-R 3 2"'
_cell_length_a 3.6111
_cell_length_b 3.6111
_cell_length_c 25.5818
_cell_angle_alpha 90.00
_cell_angle_beta 90.00
_cell_angle_gamma 120.00
loop_
_atom_site_label
_atom_site_type_symbol
_atom_site_fract_x
_atom_site_fract_y
_atom_site_fract_z
Gd1 Gd 0.0000 0.0000 0.2218
Ho1 Ho 0.0000 0.0000 0.0000
H1 H 0.0000 0.0000 0.5000
```

## Properties
For the magnetic moment, the calculation gives 14.411 μB/f.u. The total energy is -110.36 eV per cell. As for the mass density: 8.28 g/cm³. The calculation puts the density of states at the Fermi level at 4.205 states/eV/f.u.


Below is GdHo3H after structural relaxation, with properties calculated at the PBE level.

The structure in CIF format:
```
data_GdHo3H
_symmetry_space_group_name_H-M 'P m -3 m'
_symmetry_Int_Tables_number 221
_symmetry_space_group_name_Hall '-P 4 2 3'
_cell_length_a 4.9668
_cell_length_b 4.9668
_cell_length_c 4.9668
_cell_angle_alpha 90.00
_cell_angle_beta 90.00
_cell_angle_gamma 90.00
loop_
_atom_site_label
_atom_site_type_symbol
_atom_site_fract_x
_atom_site_fract_y
_atom_site_fract_z
Gd1 Gd 0.0000 0.0000 0.0000
Ho1 Ho 0.0000 0.5000 0.5000
H1 H 0.5000 0.5000 0.5000
```

## Properties
For the magnetic moment, the calculation gives 6.964 μB/f.u. The total energy is -32.00 eV per cell. As for the mass density: 8.85 g/cm³. The calculation puts the density of states at the Fermi level at 4.274 states/eV/f.u.


Below is GdHo2H after structural relaxation, with properties calculated at the PBE level.

The structure in CIF format:
```
data_GdHo2H
_symmetry_space_group_name_H-M 'R -3 m'
_symmetry_Int_Tables_number 166
_symmetry_space_group_name_Hall '-R 3 2"'
_cell_length_a 3.5833
_cell_length_b 3.5833
_cell_length_c 25.4125
_cell_angle_alpha 90.00
_cell_angle_beta 90.00
_cell_angle_gamma 120.00
loop_
_atom_site_label
_atom_site_type_symbol
_atom_site_fract_x
_atom_site_fract_y
_atom_site_fract_z
Gd1 Gd 0.0000 0.0000 0.0000
Ho1 Ho 0.0000 0.0000 0.2202
H1 H 0.0000 0.0000 0.5000
```

## Properties
As for the energy above the lowest structure with this stoichiometry: 0.0 meV per atom. For the magnetic moment, the calculation gives 7.220 μB/f.u. The total energy is -82.01 eV per cell. As for the mass density: 8.60 g/cm³. The calculation puts the density of states at the Fermi level at 3.342 states/eV/f.u.